## Mn3GeCl8 (PBE)

Data for a geometry-optimized Mn3GeCl8 structure.

Unit cell a=7.548 b=7.548 c=7.790 alpha=119.65 beta=90.00 gamma=120.00
Fractional coordinates of all 12 atoms:
Ge 0.000 0.000 0.000
Cl 0.740 0.480 0.215
Cl 0.249 0.976 0.219
Cl 0.751 0.024 0.781
Cl 0.249 0.497 0.219
Cl 0.273 0.024 0.781
Cl 0.727 0.976 0.219
Mn 0.500 0.500 0.000
Mn 0.000 0.500 0.000
Cl 0.260 0.520 0.785
Mn 0.500 0.000 0.000
Cl 0.751 0.503 0.781

Properties
Formation energy without anion corrections = -1.0005 eV per atom



## La2Ga3CuPt4 (PBE)

Data for a geometry-optimized La2Ga3CuPt4 structure.

Unit cell a=4.193 b=4.193 c=11.098 alpha=90.00 beta=90.00 gamma=90.00
Fractional coordinates of all 10 atoms:
Ga 0.000 0.000 0.500
Pt 0.000 0.000 0.000
Ga 0.500 0.000 0.869
Pt 0.500 0.500 0.000
Cu 0.500 0.500 0.500
Ga 0.000 0.500 0.131
Pt 0.500 0.000 0.640
La 0.500 0.000 0.258
La 0.000 0.500 0.742
Pt 0.000 0.500 0.360

Properties
DFT formation energy = -0.9070 eV per atom



## NaNiRh2 (PBE)

Data for a geometry-optimized NaNiRh2 structure.

Unit cell a=4.329 b=4.329 c=4.329 alpha=60.00 beta=60.00 gamma=60.00
Fractional coordinates of all 4 atoms:
Ni 0.500 0.500 0.500
Rh 0.250 0.250 0.250
Na 0.000 0.000 0.000
Rh 0.750 0.750 0.750

Properties
DFT formation energy = 0.4781 eV per atom



## Ga2SnBr6 (PBE)

Data for a geometry-optimized Ga2SnBr6 structure.

Unit cell a=7.197 b=7.197 c=9.056 alpha=66.59 beta=66.59 gamma=60.00
Fractional coordinates of all 9 atoms:
Br 0.467 0.707 0.740
Br 0.913 0.535 0.259
Ga 0.284 0.284 0.149
Ga 0.383 0.383 0.850
Br 0.293 0.913 0.259
Br 0.535 0.293 0.259
Br 0.085 0.467 0.740
Sn 0.667 0.667 0.000
Br 0.707 0.085 0.740

Properties
Formation energy without anion corrections = -0.7711 eV per atom